Record 1
## AcLuBiAu (GGA-PBE)

Data for AcLuBiAu after structural relaxation.

POSCAR file:
```
AcLuBiAu
1.0
5.506 0.000 0.000
2.753 4.768 0.000
2.753 1.589 4.496
Ac Lu Au Bi
1 1 1 1
Direct
0.250 0.250 0.250 Ac
0.750 0.750 0.750 Lu
0.000 0.000 0.000 Au
0.500 0.500 0.500 Bi
```

Results
The symmetry is F-43m, No. 216. As for the volume: 118 Å³/cell. For the raw total energy, the calculation gives -0.166 hartree per atom. For the formation energy from the elements, the calculation gives -2.26 eV per formula unit.

***

Record 2
## Ac4BiAuN (GGA-PBE)

Data for Ac4BiAuN after structural relaxation.

POSCAR file:
```
Ac4BiAuN
1.0
-6.557 2.576 2.391
1.338 -2.930 6.827
6.363 6.605 1.587
Ac Bi Au N
8 2 2 2
Direct
0.997 0.494 0.728 Ac
0.003 0.994 0.272 Ac
0.003 0.506 0.272 Ac
0.997 0.006 0.728 Ac
0.415 0.750 0.137 Ac
0.585 0.250 0.863 Ac
0.423 0.750 0.571 Ac
0.577 0.250 0.429 Ac
0.760 0.750 0.937 Bi
0.240 0.250 0.063 Bi
0.773 0.750 0.445 Au
0.227 0.250 0.555 Au
0.228 0.750 0.308 N
0.772 0.250 0.692 N
```

Results
The symmetry is P2_1/m, No. 11. As for the volume: 498 Å³/cell. The formation energy without anion corrections is -0.816 eV per atom. For the raw total energy, the calculation gives -0.198 hartree per atom.

***

Record 3
## NaAcBiAu (GGA-PBE)

Data for NaAcBiAu after structural relaxation.

POSCAR file:
```
NaAcBiAu
1.0
-1.333 -5.383 -0.040
3.628 -3.769 1.838
-0.943 -2.659 4.774
Na Ac Au Bi
1 1 1 1
Direct
0.250 0.250 0.250 Na
0.750 0.750 0.750 Ac
0.000 0.000 0.000 Au
0.500 0.500 0.500 Bi
```

Results
The symmetry is F-43m, No. 216. As for the volume: 121 Å³/cell. For the raw total energy, the calculation gives -0.140 hartree per atom. For the formation energy from the elements, the calculation gives -2.64 eV per formula unit.